DFT (PBE-GGA) results for a geometry-optimized TaCuGeO6 structure.

The calculation puts the final energy at -7.2573 eV/atom. Its total magnetization is 0.1907 μB per atom. Its volume is 194 Å³ per cell. For the formation energy (no corrections), the calculation gives -1.6667 eV per atom.

The space group is P4_2nm (No. 102) and the conventional cell measures 4.6439, 4.6439 and 8.9963 Å, with angles of 90.00, 90.00 and 90.00 degrees. The distinct sites, in fractional coordinates, are Ta at (0.0000, 0.0000, 0.0000), Cu at (0.0000, 0.0000, 0.3289), Ge at (0.0000, 0.0000, 0.6601), O at (0.1875, 0.1875, 0.8226), O at (0.1917, 0.1917, 0.5024) and O at (0.2071, 0.2071, 0.1558).